No. 1
Below is ZrRe2 after structural relaxation, with properties calculated at the PBE level.

The space group is C2/m (No. 12) and the conventional cell measures 10.2444, 3.2003 and 6.5467 Å, with angles of 90.00, 108.82 and 90.00 degrees. The distinct sites, in fractional coordinates, are Zr at (0.1640, 0.0000, 0.0891), Re at (0.0015, 0.5000, 0.2653) and Re at (0.1626, 0.0000, 0.5770).

As for the formation energy: -0.001 eV/atom.


No. 2
Below is ZrRe2 after structural relaxation, with properties calculated at the PBE level.

The space group is I4/mcm (No. 140) and the conventional cell measures 6.3653, 6.3653 and 5.4563 Å, with angles of 90.00, 90.00 and 90.00 degrees. The distinct sites, in fractional coordinates, are Zr at (0.0000, 0.0000, 0.2500) and Re at (0.1339, 0.3661, 0.0000).

As for the formation energy: 0.929 eV/atom.


No. 3
Below is ZrRe after structural relaxation, with properties calculated at the PBE level.

The space group is I-43m (No. 217) and the conventional cell measures 8.0121, 8.0121 and 8.0121 Å, with angles of 90.00, 90.00 and 90.00 degrees. The distinct sites, in fractional coordinates, are Zr at (0.2066, 0.2066, 0.2066) and Re at (0.1167, 0.1167, 0.8833).

As for the formation energy: 1.726 eV/atom.


No. 4
Below is Zr2Re after structural relaxation, with properties calculated at the PBE level.

The space group is P6_3/mmc (No. 194) and the conventional cell measures 4.9823, 4.9823 and 5.5236 Å, with angles of 90.00, 90.00 and 120.00 degrees. The distinct sites, in fractional coordinates, are Zr at (0.0000, 0.0000, 0.0000), Zr at (0.3333, 0.6667, 0.2500) and Re at (0.3333, 0.6667, 0.7500).

As for the formation energy: 0.119 eV/atom.